# BaNpSe3 (PBE, relaxed)
# E: -65.18 eV for the cell shown
data_BaNpSe3
_chemical_formula_sum 'Ba2 Np2 Se6'
_cell_length_a 4.455
_cell_length_b 6.981
_cell_length_c 9.600
_cell_angle_alpha 90.00
_cell_angle_beta 90.00
_cell_angle_gamma 90.00
_space_group_name_H-M_alt 'P m m n'
_space_group_IT_number 59
loop_
_space_group_symop_operation_xyz
'x,y,z'
'-x,-y,-z'
'-x+1/2,-y+1/2,z'
'x+1/2,y+1/2,-z'
'x+1/2,-y,-z'
'-x+1/2,y,z'
'-x,y+1/2,-z'
'x,-y+1/2,z'
loop_
_atom_site_label
_atom_site_type_symbol
_atom_site_fract_x
_atom_site_fract_y
_atom_site_fract_z
Ba1 Ba 0.250 0.250 0.139
Np1 Np 0.250 0.750 0.397
Se1 Se 0.250 0.508 0.646
Se2 Se 0.250 0.750 0.103

# Ba2Np2Se5 (PBE, relaxed)
# E: -121.05 eV for the cell shown
data_Ba2Np2Se5
_chemical_formula_sum 'Ba4 Np4 Se10'
_cell_length_a 15.040
_cell_length_b 5.561
_cell_length_c 8.715
_cell_angle_alpha 90.00
_cell_angle_beta 124.65
_cell_angle_gamma 90.00
_space_group_name_H-M_alt 'C 1 2/m 1'
_space_group_IT_number 12
loop_
_space_group_symop_operation_xyz
'x,y,z'
'-x,-y,-z'
'-x,y,-z'
'x,-y,z'
'x+1/2,y+1/2,z'
'-x+1/2,-y+1/2,-z'
'-x+1/2,y+1/2,-z'
'x+1/2,-y+1/2,z'
loop_
_atom_site_label
_atom_site_type_symbol
_atom_site_fract_x
_atom_site_fract_y
_atom_site_fract_z
Ba1 Ba 0.122 0.000 0.273
Np1 Np 0.113 0.500 0.819
Se1 Se 0.000 0.500 0.000
Se2 Se 0.120 0.500 0.494
Se3 Se 0.149 0.000 0.910

# Ba2NpSe4 (PBE, relaxed)
# energy above the most stable polymorph in this dataset: 0.000 eV/atom
data_Ba2NpSe4
_chemical_formula_sum 'Ba4 Np2 Se8'
_cell_length_a 8.099
_cell_length_b 12.951
_cell_length_c 4.518
_cell_angle_alpha 90.00
_cell_angle_beta 90.00
_cell_angle_gamma 90.00
_space_group_name_H-M_alt 'P b a m'
_space_group_IT_number 55
loop_
_space_group_symop_operation_xyz
'x,y,z'
'-x,-y,-z'
'-x,-y,z'
'x,y,-z'
'x+1/2,-y+1/2,-z'
'-x+1/2,y+1/2,z'
'-x+1/2,y+1/2,-z'
'x+1/2,-y+1/2,z'
loop_
_atom_site_label
_atom_site_type_symbol
_atom_site_fract_x
_atom_site_fract_y
_atom_site_fract_z
Ba1 Ba 0.083 0.181 0.000
Np1 Np 0.000 0.500 0.500
Se1 Se 0.131 0.699 0.500
Se2 Se 0.215 0.449 0.000

# Ba3Np4Se12 (PBE, relaxed)
# E: -247.90 eV for the cell shown
data_Ba3Np4Se12
_chemical_formula_sum 'Ba6 Np8 Se24'
_cell_length_a 10.835
_cell_length_b 10.835
_cell_length_c 10.835
_cell_angle_alpha 90.00
_cell_angle_beta 90.00
_cell_angle_gamma 90.00
_space_group_name_H-M_alt 'I m -3'
_space_group_IT_number 204
_space_group_name_Hall '-I 2 2 3'
loop_
_atom_site_label
_atom_site_type_symbol
_atom_site_fract_x
_atom_site_fract_y
_atom_site_fract_z
Ba1 Ba 0.000 0.000 0.500
Np1 Np 0.250 0.250 0.250
Se1 Se 0.000 0.227 0.285

# BaNpSe2 (PBE, relaxed)
# E: -83.02 eV for the cell shown
data_BaNpSe2
_chemical_formula_sum 'Ba3 Np3 Se6'
_cell_length_a 4.3331
_cell_length_b 4.3331
_cell_length_c 22.2050
_cell_angle_alpha 90.00
_cell_angle_beta 90.00
_cell_angle_gamma 120.00
_space_group_name_H-M_alt 'R -3 m'
_space_group_IT_number 166
_space_group_name_Hall '-R 3 2"'
loop_
_atom_site_label
_atom_site_type_symbol
_atom_site_fract_x
_atom_site_fract_y
_atom_site_fract_z
Ba1 Ba 0.0000 0.0000 0.0000
Np1 Np 0.0000 0.0000 0.5000
Se1 Se 0.0000 0.0000 0.2380

# BaNpSe4 (PBE, relaxed)
# E: -35.31 eV for the cell shown
data_BaNpSe4
_chemical_formula_sum 'Ba1 Np1 Se4'
_cell_length_a 4.768
_cell_length_b 4.768
_cell_length_c 7.951
_cell_angle_alpha 90.00
_cell_angle_beta 90.00
_cell_angle_gamma 90.00
_space_group_name_H-M_alt 'P 4/m m m'
_space_group_IT_number 123
_space_group_name_Hall '-P 4 2'
loop_
_atom_site_label
_atom_site_type_symbol
_atom_site_fract_x
_atom_site_fract_y
_atom_site_fract_z
Ba1 Ba 0.000 0.000 0.000
Np1 Np 0.500 0.500 0.500
Se1 Se 0.000 0.500 0.292

DOS(E_F) per entry: 2.343, 2.493, 0.814, 1.974, 2.823, 1.726 states/eV per atom